(1)
Material: Th2TlZn
Method: DFT, PBE
State: relaxed

```
8
Lattice="6.6573 -0.1294 0.0000 -0.3957 6.6468 0.0000 -3.1308 -3.2587 4.8900" Properties=species:S:1:pos:R:3 pbc="T T T"
Th -0.1979 3.3234 2.4450
Th 1.6250 1.6913 0.0000
Th 3.3286 -0.0647 2.4450
Th 1.5058 1.5673 4.8899
Zn 0.0000 0.0000 2.3646
Zn 3.1308 3.2587 2.5253
Tl 1.2945 5.0229 0.0000
Tl 4.9671 1.4945 0.0000
```

Computed properties:
**Formation enthalpy at 0 K**: -0.1138 eV per atom
**Raw total energy**: -37.9 eV per cell
**Mass density**: 11.3 g/cm³
**Crystal system**: orthorhombic


(2)
Material: Ac2SiPt6Pb
Method: DFT, PBE
State: relaxed

```
20
Lattice="5.7128 0.0000 0.0000 0.0000 8.8576 0.0000 0.0000 0.0000 8.8241" Properties=species:S:1:pos:R:3 pbc="T T T"
Pt 4.2649 8.8335 0.0000
Pt 0.0000 7.9884 6.6396
Pt 1.4949 4.0160 4.4120
Pt 2.8564 0.8692 6.5965
Pt 4.3512 4.8416 0.0000
Pt 4.2179 4.0160 4.4120
Pt 2.8564 0.8692 2.2276
Pt 4.3042 0.0241 4.4120
Pt 1.3615 4.8416 0.0000
Pt 1.4085 0.0241 4.4120
Pt 0.0000 7.9884 2.1845
Pt 1.4479 8.8335 0.0000
Si 2.8564 2.0367 4.4120
Si 0.0000 6.8209 0.0000
Pb 2.8564 2.5573 0.0000
Pb 0.0000 6.3003 4.4120
Ac 2.8564 6.4858 2.1926
Ac 2.8564 6.4858 6.6315
Ac 0.0000 2.3718 2.2194
Ac 0.0000 2.3718 6.6047
```

Computed properties:
**E_form (uncorrected)**: -861 meV per atom
**Raw total energy**: -124.4 eV per cell
**Mass density**: 13.8 g/cm³
**Crystal system**: orthorhombic


(3)
Material: TaFe3Te
Method: DFT, PBE
State: relaxed

```
5
Lattice="4.4505 0.0000 0.0000 0.0000 4.4505 0.0000 0.0000 0.0000 4.4505" Properties=species:S:1:pos:R:3 pbc="T T T"
Te 0.0000 0.0000 0.0000
Fe 2.2253 0.0000 0.0000
Fe 0.0000 0.0000 2.2253
Fe 0.0000 2.2253 0.0000
Ta 2.2253 2.2253 2.2253
```

Computed properties:
**E_form (uncorrected)**: 1657 meV per atom
**Raw total energy**: -32.1 eV per cell
**Polymorph energy (0 for the lowest one)**: 293.3 meV/atom
**Mass density**: 9.0 g/cm³
**Crystal system**: cubic